This record from Alexandria via LeMat-Bulk describes a relaxed As2Br13 crystal. The functional is GGA-PBE.

The structure in extended XYZ format:
```
15
Lattice="7.188 0.000 0.000 2.117 7.998 0.000 0.177 2.457 11.354" Properties=species:S:1:pos:R:3 pbc="T T T"
As 1.520 1.293 2.058
As 7.962 9.162 9.296
Br 0.000 0.000 0.000
Br 2.450 8.428 3.889
Br 3.021 7.523 10.606
Br 2.446 3.362 2.998
Br 3.463 5.260 9.987
Br 4.127 4.378 5.102
Br 3.772 2.445 9.174
Br 5.710 8.010 2.180
Br 5.355 6.078 6.252
Br 6.019 5.196 1.366
Br 7.036 7.094 8.355
Br 6.461 2.933 0.748
Br 7.032 2.028 7.465
```

Formation energy from raw total energies, eV/atom: -0.175
Density, g cm⁻³: 3.0
E, eV for the cell shown: -33.7